# SmSn3Te6, optimized geometry, DFT PBE
# Formation energy (no corrections): -0.48 eV per atom
# Magnetization: 0.00 μB per atom
data_SmSn3Te6
_space_group_name_H-M_alt 'P 1'
_space_group_IT_number 1
_space_group_name_Hall 'P 1'
_cell_length_a 12.855
_cell_length_b 4.323
_cell_length_c 12.990
_cell_angle_alpha 90.00
_cell_angle_beta 112.70
_cell_angle_gamma 90.00
loop_
_atom_site_label
_atom_site_type_symbol
_atom_site_fract_x
_atom_site_fract_y
_atom_site_fract_z
Sm1 Sm 0.209 0.250 0.052
Sm2 Sm 0.791 0.750 0.948
Sn1 Sn 0.050 0.750 0.295
Sn2 Sn 0.347 0.250 0.462
Sn3 Sn 0.383 0.750 0.836
Sn4 Sn 0.617 0.250 0.164
Sn5 Sn 0.653 0.750 0.538
Sn6 Sn 0.950 0.250 0.705
Te1 Te 0.024 0.750 0.902
Te2 Te 0.118 0.250 0.469
Te3 Te 0.215 0.250 0.800
Te4 Te 0.257 0.750 0.249
Te5 Te 0.404 0.750 0.072
Te6 Te 0.448 0.750 0.632
Te7 Te 0.552 0.250 0.368
Te8 Te 0.596 0.250 0.928
Te9 Te 0.743 0.250 0.751
Te10 Te 0.785 0.750 0.200
Te11 Te 0.882 0.750 0.531
Te12 Te 0.976 0.250 0.098

***

# Sm8Sn2Te, optimized geometry, DFT PBE
# Formation energy (no corrections): -0.49 eV per atom
# Magnetization: 0.00 μB per atom
data_Sm8Sn2Te
_space_group_name_H-M_alt 'P 1'
_space_group_IT_number 1
_space_group_name_Hall 'P 1'
_cell_length_a 9.655
_cell_length_b 9.655
_cell_length_c 7.743
_cell_angle_alpha 92.16
_cell_angle_beta 92.16
_cell_angle_gamma 29.02
loop_
_atom_site_label
_atom_site_type_symbol
_atom_site_fract_x
_atom_site_fract_y
_atom_site_fract_z
Sm1 Sm 0.004 0.004 0.254
Sm2 Sm 0.217 0.217 0.358
Sm3 Sm 0.336 0.336 0.957
Sm4 Sm 0.400 0.400 0.475
Sm5 Sm 0.600 0.600 0.525
Sm6 Sm 0.664 0.664 0.043
Sm7 Sm 0.783 0.783 0.642
Sm8 Sm 0.996 0.996 0.746
Sn1 Sn 0.173 0.173 0.775
Sn2 Sn 0.827 0.827 0.225
Te1 Te 0.500 0.500 0.000

***

# Sm3Sn5Te12, optimized geometry, DFT PBE
# Formation energy (no corrections): -0.57 eV per atom
# Magnetization: 0.00 μB per atom
data_Sm3Sn5Te12
_space_group_name_H-M_alt 'P 1'
_space_group_IT_number 1
_space_group_name_Hall 'P 1'
_cell_length_a 15.648
_cell_length_b 15.648
_cell_length_c 15.648
_cell_angle_alpha 109.47
_cell_angle_beta 109.47
_cell_angle_gamma 109.47
loop_
_atom_site_label
_atom_site_type_symbol
_atom_site_fract_x
_atom_site_fract_y
_atom_site_fract_z
Sm1 Sm 0.125 0.250 0.375
Sm2 Sm 0.125 0.375 0.750
Sm3 Sm 0.250 0.375 0.125
Sm4 Sm 0.250 0.875 0.625
Sm5 Sm 0.375 0.125 0.250
Sm6 Sm 0.375 0.750 0.125
Sm7 Sm 0.625 0.250 0.875
Sm8 Sm 0.625 0.875 0.750
Sm9 Sm 0.750 0.125 0.375
Sm10 Sm 0.750 0.625 0.875
Sm11 Sm 0.875 0.625 0.250
Sm12 Sm 0.875 0.750 0.625
Sn1 Sn 0.000 0.000 0.000
Sn2 Sn 0.000 0.000 0.500
Sn3 Sn 0.000 0.500 0.000
Sn4 Sn 0.000 0.500 0.500
Sn5 Sn 0.125 0.750 0.875
Sn6 Sn 0.125 0.875 0.250
Sn7 Sn 0.250 0.125 0.875
Sn8 Sn 0.250 0.625 0.375
Sn9 Sn 0.375 0.250 0.625
Sn10 Sn 0.375 0.625 0.750
Sn11 Sn 0.500 0.000 0.000
Sn12 Sn 0.500 0.000 0.500
Sn13 Sn 0.500 0.500 0.000
Sn14 Sn 0.500 0.500 0.500
Sn15 Sn 0.625 0.375 0.250
Sn16 Sn 0.625 0.750 0.375
Sn17 Sn 0.750 0.375 0.625
Sn18 Sn 0.750 0.875 0.125
Sn19 Sn 0.875 0.125 0.750
Sn20 Sn 0.875 0.250 0.125
Te1 Te 0.051 0.223 0.137
Te2 Te 0.051 0.328 0.914
Te3 Te 0.086 0.637 0.414
Te4 Te 0.086 0.723 0.672
Te5 Te 0.086 0.863 0.414
Te6 Te 0.086 0.949 0.672
Te7 Te 0.137 0.051 0.223
Te8 Te 0.137 0.586 0.914
Te9 Te 0.172 0.223 0.586
Te10 Te 0.172 0.449 0.586
Te11 Te 0.223 0.137 0.051
Te12 Te 0.223 0.586 0.172
Te13 Te 0.277 0.328 0.914
Te14 Te 0.277 0.449 0.363
Te15 Te 0.328 0.914 0.051
Te16 Te 0.328 0.914 0.277
Te17 Te 0.363 0.277 0.449
Te18 Te 0.363 0.586 0.914
Te19 Te 0.414 0.086 0.637
Te20 Te 0.414 0.086 0.863
Te21 Te 0.414 0.828 0.551
Te22 Te 0.414 0.828 0.777
Te23 Te 0.449 0.363 0.277
Te24 Te 0.449 0.586 0.172
Te25 Te 0.551 0.414 0.828
Te26 Te 0.551 0.637 0.723
Te27 Te 0.586 0.172 0.223
Te28 Te 0.586 0.172 0.449
Te29 Te 0.586 0.914 0.137
Te30 Te 0.586 0.914 0.363
Te31 Te 0.637 0.414 0.086
Te32 Te 0.637 0.723 0.551
Te33 Te 0.672 0.086 0.723
Te34 Te 0.672 0.086 0.949
Te35 Te 0.723 0.551 0.637
Te36 Te 0.723 0.672 0.086
Te37 Te 0.777 0.414 0.828
Te38 Te 0.777 0.863 0.949
Te39 Te 0.828 0.551 0.414
Te40 Te 0.828 0.777 0.414
Te41 Te 0.863 0.414 0.086
Te42 Te 0.863 0.949 0.777
Te43 Te 0.914 0.051 0.328
Te44 Te 0.914 0.137 0.586
Te45 Te 0.914 0.277 0.328
Te46 Te 0.914 0.363 0.586
Te47 Te 0.949 0.672 0.086
Te48 Te 0.949 0.777 0.863

***

# Sm4SnTe4, optimized geometry, DFT PBE
# Formation energy (no corrections): -1.29 eV per atom
# Magnetization: 0.00 μB per atom
data_Sm4SnTe4
_space_group_name_H-M_alt 'P 1'
_space_group_IT_number 1
_space_group_name_Hall 'P 1'
_cell_length_a 7.779
_cell_length_b 7.779
_cell_length_c 11.000
_cell_angle_alpha 118.81
_cell_angle_beta 118.81
_cell_angle_gamma 33.17
loop_
_atom_site_label
_atom_site_type_symbol
_atom_site_fract_x
_atom_site_fract_y
_atom_site_fract_z
Sm1 Sm 0.096 0.096 0.399
Sm2 Sm 0.301 0.301 0.199
Sm3 Sm 0.699 0.699 0.801
Sm4 Sm 0.904 0.904 0.601
Sn1 Sn 0.500 0.500 0.500
Te1 Te 0.103 0.103 0.901
Te2 Te 0.303 0.303 0.701
Te3 Te 0.697 0.697 0.299
Te4 Te 0.897 0.897 0.099

***

# Sm3SnTe6, optimized geometry, DFT PBE
# Formation energy (no corrections): -1.07 eV per atom
# Magnetization: 0.00 μB per atom
data_Sm3SnTe6
_space_group_name_H-M_alt 'P 1'
_space_group_IT_number 1
_space_group_name_Hall 'P 1'
_cell_length_a 9.776
_cell_length_b 9.776
_cell_length_c 7.567
_cell_angle_alpha 90.00
_cell_angle_beta 90.00
_cell_angle_gamma 102.36
loop_
_atom_site_label
_atom_site_type_symbol
_atom_site_fract_x
_atom_site_fract_y
_atom_site_fract_z
Sm1 Sm 0.093 0.907 0.500
Sm2 Sm 0.221 0.412 0.605
Sm3 Sm 0.412 0.221 0.105
Sm4 Sm 0.588 0.779 0.605
Sm5 Sm 0.779 0.588 0.105
Sm6 Sm 0.907 0.093 0.000
Sn1 Sn 0.296 0.704 0.140
Sn2 Sn 0.704 0.296 0.640
Te1 Te 0.048 0.593 0.349
Te2 Te 0.125 0.201 0.300
Te3 Te 0.201 0.125 0.800
Te4 Te 0.276 0.724 0.744
Te5 Te 0.407 0.952 0.349
Te6 Te 0.471 0.529 0.310
Te7 Te 0.529 0.471 0.810
Te8 Te 0.593 0.048 0.849
Te9 Te 0.724 0.276 0.244
Te10 Te 0.799 0.875 0.300
Te11 Te 0.875 0.799 0.800
Te12 Te 0.952 0.407 0.849

***

# Sm4SnTe, optimized geometry, DFT PBE
# Formation energy (no corrections): -0.51 eV per atom
# Magnetization: 0.00 μB per atom
data_Sm4SnTe
_space_group_name_H-M_alt 'P 1'
_space_group_IT_number 1
_space_group_name_Hall 'P 1'
_cell_length_a 6.534
_cell_length_b 7.585
_cell_length_c 9.154
_cell_angle_alpha 104.12
_cell_angle_beta 110.90
_cell_angle_gamma 90.13
loop_
_atom_site_label
_atom_site_type_symbol
_atom_site_fract_x
_atom_site_fract_y
_atom_site_fract_z
Sm1 Sm 0.017 0.045 0.343
Sm2 Sm 0.174 0.456 0.658
Sm3 Sm 0.272 0.369 0.226
Sm4 Sm 0.454 0.868 0.225
Sm5 Sm 0.546 0.132 0.775
Sm6 Sm 0.728 0.631 0.774
Sm7 Sm 0.826 0.544 0.342
Sm8 Sm 0.983 0.955 0.657
Sn1 Sn 0.340 0.750 0.500
Sn2 Sn 0.660 0.250 0.500
Te1 Te 0.000 0.000 0.000
Te2 Te 0.500 0.500 0.000

***

# Sm8Sn3Te4, optimized geometry, DFT PBE
# Formation energy (no corrections): -1.03 eV per atom
# Magnetization: 0.00 μB per atom
data_Sm8Sn3Te4
_space_group_name_H-M_alt 'P 1'
_space_group_IT_number 1
_space_group_name_Hall 'P 1'
_cell_length_a 8.844
_cell_length_b 8.844
_cell_length_c 8.817
_cell_angle_alpha 119.81
_cell_angle_beta 119.81
_cell_angle_gamma 90.15
loop_
_atom_site_label
_atom_site_type_symbol
_atom_site_fract_x
_atom_site_fract_y
_atom_site_fract_z
Sm1 Sm 0.243 0.243 0.496
Sm2 Sm 0.243 0.243 0.996
Sm3 Sm 0.247 0.753 0.000
Sm4 Sm 0.247 0.753 0.500
Sm5 Sm 0.753 0.247 0.000
Sm6 Sm 0.753 0.247 0.500
Sm7 Sm 0.757 0.757 0.004
Sm8 Sm 0.757 0.757 0.504
Sn1 Sn 0.000 0.000 0.000
Sn2 Sn 0.000 0.500 0.500
Sn3 Sn 0.500 0.000 0.500
Te1 Te 0.000 0.500 0.000
Te2 Te 0.500 0.000 0.000
Te3 Te 0.500 0.500 0.000
Te4 Te 0.500 0.500 0.500

***

# Sm2SnTe, optimized geometry, DFT PBE
# Energy relative to the lowest polymorph listed for this composition: 9.4 kJ/mol of atoms
# Formation energy (no corrections): -1.01 eV per atom
# Magnetization: 0.00 μB per atom
data_Sm2SnTe
_space_group_name_H-M_alt 'P 1'
_space_group_IT_number 1
_space_group_name_Hall 'P 1'
_cell_length_a 8.066
_cell_length_b 8.066
_cell_length_c 8.066
_cell_angle_alpha 31.83
_cell_angle_beta 31.83
_cell_angle_gamma 31.83
loop_
_atom_site_label
_atom_site_type_symbol
_atom_site_fract_x
_atom_site_fract_y
_atom_site_fract_z
Sm1 Sm 0.000 0.000 0.000
Sm2 Sm 0.179 0.179 0.179
Sn1 Sn 0.588 0.588 0.588
Te1 Te 0.758 0.758 0.758

***

| no. | electronic total energy (eV for the cell shown) |
| --- | --- |
| 1 | -80.76 |
| 2 | -54.33 |
| 3 | -333.33 |
| 4 | -47.07 |
| 5 | -95.48 |
| 6 | -58.18 |
| 7 | -77.75 |
| 8 | -20.64 |